# PBE HoSnNO, relaxed
# Offset from the most stable computed form ... 0.139 eV/atom
# Total moment ... 0.00 μB/f.u.
data_HoSnNO
_chemical_formula_sum 'Ho2 Sn2 N2 O2'
_symmetry_space_group_name_H-M 'P m c 21'
_symmetry_Int_Tables_number 26
_cell_length_a 3.7711
_cell_length_b 5.8638
_cell_length_c 6.4606
_cell_angle_alpha 90.00
_cell_angle_beta 90.00
_cell_angle_gamma 90.00
loop_
_symmetry_equiv_pos_as_xyz
'x,y,z'
'-x,-y,z+1/2'
'-x,y,z'
'x,-y,z+1/2'
loop_
_atom_site_label
_atom_site_fract_x
_atom_site_fract_y
_atom_site_fract_z
Ho1 0.0000 0.1861 0.0000
Sn1 0.5000 0.2910 0.4573
N1 0.5000 0.3849 0.0834
O1 0.0000 0.1322 0.6720